InCuPb2: optimized geometry, GGA-PBEsol.

Properties
Crystal system: monoclinic
Total moment in Bohr magnetons per cell: 0.0
Symmetry: Cm
Energy relative to the elements in eV/atom: 0.15

```
data_InCuPb2
_chemical_formula_sum 'In2 Cu2 Pb4'
_cell_length_a 10.6120
_cell_length_b 3.4035
_cell_length_c 6.1565
_cell_angle_alpha 90.00
_cell_angle_beta 118.59
_cell_angle_gamma 90.00
_space_group_name_H-M_alt 'P 1'
_space_group_IT_number 1
loop_
_space_group_symop_operation_xyz
'x,y,z'
loop_
_atom_site_label
_atom_site_type_symbol
_atom_site_fract_x
_atom_site_fract_y
_atom_site_fract_z
_atom_site_occupancy
In1 In 0.0000 0.0000 0.0000 1
In2 In 0.5000 0.5000 0.0000 1
Cu1 Cu 0.3495 0.0000 0.6259 1
Cu2 Cu 0.8495 0.5000 0.6259 1
Pb1 Pb 0.1255 0.5000 0.6080 1
Pb2 Pb 0.2970 0.5000 0.2353 1
Pb3 Pb 0.6255 0.0000 0.6080 1
Pb4 Pb 0.7970 0.0000 0.2353 1
```

CoRe2Si: optimized geometry, GGA-PBEsol.

Properties
Crystal system: trigonal
ΔE_f (raw) in meV/atom: -76
Total moment in Bohr magnetons per cell: 0.7
Symmetry: R3m

```
data_CoRe2Si
_chemical_formula_sum 'Co3 Re6 Si3'
_cell_length_a 2.7190
_cell_length_b 2.7190
_cell_length_c 24.3366
_cell_angle_alpha 90.00
_cell_angle_beta 90.00
_cell_angle_gamma 120.00
_space_group_name_H-M_alt 'P 1'
_space_group_IT_number 1
loop_
_space_group_symop_operation_xyz
'x,y,z'
loop_
_atom_site_label
_atom_site_type_symbol
_atom_site_fract_x
_atom_site_fract_y
_atom_site_fract_z
_atom_site_occupancy
Co1 Co 0.0000 0.0000 0.0000 1
Co2 Co 0.3333 0.6667 0.6667 1
Co3 Co 0.6667 0.3333 0.3333 1
Re1 Re 0.0000 0.0000 0.2466 1
Re2 Re 0.0000 0.0000 0.4910 1
Re3 Re 0.3333 0.6667 0.1576 1
Re4 Re 0.3333 0.6667 0.9133 1
Re5 Re 0.6667 0.3333 0.5800 1
Re6 Re 0.6667 0.3333 0.8243 1
Si1 Si 0.0000 0.0000 0.7380 1
Si2 Si 0.3333 0.6667 0.4046 1
Si3 Si 0.6667 0.3333 0.0713 1
```

MgAg2: optimized geometry, GGA-PBEsol.

Properties
Crystal system: trigonal
Total moment in Bohr magnetons per cell: 0.0
Energy above the lowest structure with this stoichiometry in eV per atom: 0.0477
Symmetry: P-3m1
Energy relative to the elements in eV/atom: -0.14

```
data_MgAg2
_chemical_formula_sum 'Mg1 Ag2'
_cell_length_a 4.5405
_cell_length_b 4.5405
_cell_length_c 2.9028
_cell_angle_alpha 90.00
_cell_angle_beta 90.00
_cell_angle_gamma 120.00
_space_group_name_H-M_alt 'P 1'
_space_group_IT_number 1
loop_
_space_group_symop_operation_xyz
'x,y,z'
loop_
_atom_site_label
_atom_site_type_symbol
_atom_site_fract_x
_atom_site_fract_y
_atom_site_fract_z
_atom_site_occupancy
Mg1 Mg 0.0000 0.0000 0.0000 1
Ag1 Ag 0.3333 0.6667 0.3269 1
Ag2 Ag 0.6667 0.3333 0.6731 1
```

CrInRe2: optimized geometry, GGA-PBEsol.

Properties
Crystal system: monoclinic
Total moment in Bohr magnetons per cell: 0.0
Symmetry: P2/m
Energy relative to the elements in eV/atom: 0.44

```
data_CrInRe2
_chemical_formula_sum 'Cr1 In1 Re2'
_cell_length_a 2.7625
_cell_length_b 4.0011
_cell_length_c 5.5223
_cell_angle_alpha 90.00
_cell_angle_beta 97.92
_cell_angle_gamma 90.00
_space_group_name_H-M_alt 'P 1'
_space_group_IT_number 1
loop_
_space_group_symop_operation_xyz
'x,y,z'
loop_
_atom_site_label
_atom_site_type_symbol
_atom_site_fract_x
_atom_site_fract_y
_atom_site_fract_z
_atom_site_occupancy
Cr1 Cr 0.0000 0.0000 0.0000 1
In1 In 0.0000 0.0000 0.5000 1
Re1 Re 0.4056 0.5000 0.2176 1
Re2 Re 0.5944 0.5000 0.7824 1
```

YVO3: optimized geometry, GGA-PBEsol.

Properties
Crystal system: orthorhombic
ΔE_f (raw) in meV/atom: -2987
Total moment in Bohr magnetons per cell: 8.0
Symmetry: Pnma

```
data_YVO3
_chemical_formula_sum 'Y4 V4 O12'
_cell_length_a 5.5822
_cell_length_b 7.5245
_cell_length_c 5.2018
_cell_angle_alpha 90.00
_cell_angle_beta 90.00
_cell_angle_gamma 90.00
_space_group_name_H-M_alt 'P 1'
_space_group_IT_number 1
loop_
_space_group_symop_operation_xyz
'x,y,z'
loop_
_atom_site_label
_atom_site_type_symbol
_atom_site_fract_x
_atom_site_fract_y
_atom_site_fract_z
_atom_site_occupancy
Y1 Y 0.0708 0.2500 0.0201 1
Y2 Y 0.4292 0.7500 0.5201 1
Y3 Y 0.5708 0.2500 0.4799 1
Y4 Y 0.9292 0.7500 0.9799 1
V1 V 0.0000 0.0000 0.5000 1
V2 V 0.0000 0.5000 0.5000 1
V3 V 0.5000 0.0000 0.0000 1
V4 V 0.5000 0.5000 0.0000 1
O1 O 0.0399 0.7500 0.3892 1
O2 O 0.1970 0.5556 0.8091 1
O3 O 0.1970 0.9444 0.8091 1
O4 O 0.3030 0.0556 0.3091 1
O5 O 0.3030 0.4444 0.3091 1
O6 O 0.4601 0.2500 0.8892 1
O7 O 0.5399 0.7500 0.1108 1
O8 O 0.6970 0.5556 0.6909 1
O9 O 0.6970 0.9444 0.6909 1
O10 O 0.8030 0.0556 0.1909 1
O11 O 0.8030 0.4444 0.1909 1
O12 O 0.9601 0.2500 0.6108 1
```

HgBi2F: optimized geometry, GGA-PBEsol.

Properties
Crystal system: tetragonal
ΔE_f (raw) in meV/atom: -460
Total moment in Bohr magnetons per cell: 0.0
Symmetry: I-42d

```
data_HgBi2F
_chemical_formula_sum 'Hg4 Bi8 F4'
_cell_length_a 4.9266
_cell_length_b 4.9266
_cell_length_c 17.6032
_cell_angle_alpha 90.00
_cell_angle_beta 90.00
_cell_angle_gamma 90.00
_space_group_name_H-M_alt 'P 1'
_space_group_IT_number 1
loop_
_space_group_symop_operation_xyz
'x,y,z'
loop_
_atom_site_label
_atom_site_type_symbol
_atom_site_fract_x
_atom_site_fract_y
_atom_site_fract_z
_atom_site_occupancy
Hg1 Hg 0.0000 0.0000 0.0000 1
Hg2 Hg 0.0000 0.5000 0.2500 1
Hg3 Hg 0.5000 0.0000 0.7500 1
Hg4 Hg 0.5000 0.5000 0.5000 1
Bi1 Bi 0.1817 0.2500 0.6250 1
Bi2 Bi 0.2500 0.6817 0.8750 1
Bi3 Bi 0.2500 0.8183 0.3750 1
Bi4 Bi 0.3183 0.2500 0.1250 1
Bi5 Bi 0.6817 0.7500 0.1250 1
Bi6 Bi 0.7500 0.1817 0.3750 1
Bi7 Bi 0.7500 0.3183 0.8750 1
Bi8 Bi 0.8183 0.7500 0.6250 1
F1 F 0.0000 0.0000 0.5000 1
F2 F 0.0000 0.5000 0.7500 1
F3 F 0.5000 0.0000 0.2500 1
F4 F 0.5000 0.5000 0.0000 1
```

LiCaHf3: optimized geometry, GGA-PBEsol.

Properties
Crystal system: cubic
Total moment in Bohr magnetons per cell: 0.0
Symmetry: Pm-3m
Energy relative to the elements in eV/atom: 0.90

```
data_LiCaHf3
_chemical_formula_sum 'Li1 Ca1 Hf3'
_cell_length_a 4.8605
_cell_length_b 4.8605
_cell_length_c 4.8605
_cell_angle_alpha 90.00
_cell_angle_beta 90.00
_cell_angle_gamma 90.00
_space_group_name_H-M_alt 'P 1'
_space_group_IT_number 1
loop_
_space_group_symop_operation_xyz
'x,y,z'
loop_
_atom_site_label
_atom_site_type_symbol
_atom_site_fract_x
_atom_site_fract_y
_atom_site_fract_z
_atom_site_occupancy
Li1 Li 0.0000 0.0000 0.0000 1
Ca1 Ca 0.5000 0.5000 0.5000 1
Hf1 Hf 0.0000 0.0000 0.5000 1
Hf2 Hf 0.0000 0.5000 0.0000 1
Hf3 Hf 0.5000 0.0000 0.0000 1
```

Y2MoPdPt: optimized geometry, GGA-PBEsol.

Properties
Crystal system: tetragonal
Total moment in Bohr magnetons per cell: 3.8
Symmetry: P4/mmm
Energy relative to the elements in eV/atom: 0.63

```
data_Y2MoPdPt
_chemical_formula_sum 'Y2 Mo1 Pd1 Pt1'
_cell_length_a 5.1469
_cell_length_b 5.1469
_cell_length_c 4.9306
_cell_angle_alpha 90.00
_cell_angle_beta 90.00
_cell_angle_gamma 90.00
_space_group_name_H-M_alt 'P 1'
_space_group_IT_number 1
loop_
_space_group_symop_operation_xyz
'x,y,z'
loop_
_atom_site_label
_atom_site_type_symbol
_atom_site_fract_x
_atom_site_fract_y
_atom_site_fract_z
_atom_site_occupancy
Y1 Y 0.0000 0.5000 0.0000 1
Y2 Y 0.5000 0.0000 0.0000 1
Mo1 Mo 0.0000 0.0000 0.5000 1
Pd1 Pd 0.5000 0.5000 0.5000 1
Pt1 Pt 0.5000 0.5000 0.0000 1
```

NiSbBr: optimized geometry, GGA-PBEsol.

Properties
Crystal system: cubic
ΔE_f (raw) in meV/atom: 309
Total moment in Bohr magnetons per cell: 0.0
Energy above the lowest structure with this stoichiometry in eV per atom: 0.0000
Symmetry: F-43m

```
data_NiSbBr
_chemical_formula_sum 'Ni4 Sb4 Br4'
_cell_length_a 6.3364
_cell_length_b 6.3364
_cell_length_c 6.3364
_cell_angle_alpha 90.00
_cell_angle_beta 90.00
_cell_angle_gamma 90.00
_space_group_name_H-M_alt 'P 1'
_space_group_IT_number 1
loop_
_space_group_symop_operation_xyz
'x,y,z'
loop_
_atom_site_label
_atom_site_type_symbol
_atom_site_fract_x
_atom_site_fract_y
_atom_site_fract_z
_atom_site_occupancy
Ni1 Ni 0.0000 0.0000 0.0000 1
Ni2 Ni 0.0000 0.5000 0.5000 1
Ni3 Ni 0.5000 0.0000 0.5000 1
Ni4 Ni 0.5000 0.5000 0.0000 1
Sb1 Sb 0.2500 0.2500 0.7500 1
Sb2 Sb 0.2500 0.7500 0.2500 1
Sb3 Sb 0.7500 0.2500 0.2500 1
Sb4 Sb 0.7500 0.7500 0.7500 1
Br1 Br 0.2500 0.2500 0.2500 1
Br2 Br 0.2500 0.7500 0.7500 1
Br3 Br 0.7500 0.2500 0.7500 1
Br4 Br 0.7500 0.7500 0.2500 1
```

LaBeAl3: optimized geometry, GGA-PBEsol.

Properties
Crystal system: tetragonal
Total moment in Bohr magnetons per cell: 0.0
Symmetry: I-4m2
Energy relative to the elements in eV/atom: -0.24

```
data_LaBeAl3
_chemical_formula_sum 'La2 Be2 Al6'
_cell_length_a 4.2325
_cell_length_b 4.2325
_cell_length_c 10.7158
_cell_angle_alpha 90.00
_cell_angle_beta 90.00
_cell_angle_gamma 90.00
_space_group_name_H-M_alt 'P 1'
_space_group_IT_number 1
loop_
_space_group_symop_operation_xyz
'x,y,z'
loop_
_atom_site_label
_atom_site_type_symbol
_atom_site_fract_x
_atom_site_fract_y
_atom_site_fract_z
_atom_site_occupancy
La1 La 0.0000 0.0000 0.0000 1
La2 La 0.5000 0.5000 0.5000 1
Be1 Be 0.0000 0.5000 0.2500 1
Be2 Be 0.5000 0.0000 0.7500 1
Al1 Al 0.0000 0.0000 0.3809 1
Al2 Al 0.0000 0.0000 0.6191 1
Al3 Al 0.0000 0.5000 0.7500 1
Al4 Al 0.5000 0.0000 0.2500 1
Al5 Al 0.5000 0.5000 0.1191 1
Al6 Al 0.5000 0.5000 0.8809 1
```

CrReRh2: optimized geometry, GGA-PBEsol.

Properties
Crystal system: tetragonal
Total moment in Bohr magnetons per cell: 0.0
Energy above the lowest structure with this stoichiometry in eV per atom: 0.0908
Symmetry: P4/mmm
Energy relative to the elements in eV/atom: -0.05

```
data_CrReRh2
_chemical_formula_sum 'Cr1 Re1 Rh2'
_cell_length_a 2.6459
_cell_length_b 2.6459
_cell_length_c 7.5247
_cell_angle_alpha 90.00
_cell_angle_beta 90.00
_cell_angle_gamma 90.00
_space_group_name_H-M_alt 'P 1'
_space_group_IT_number 1
loop_
_space_group_symop_operation_xyz
'x,y,z'
loop_
_atom_site_label
_atom_site_type_symbol
_atom_site_fract_x
_atom_site_fract_y
_atom_site_fract_z
_atom_site_occupancy
Cr1 Cr 0.0000 0.0000 0.0000 1
Re1 Re 0.0000 0.0000 0.5000 1
Rh1 Rh 0.5000 0.5000 0.2378 1
Rh2 Rh 0.5000 0.5000 0.7622 1
```

BaMg2Tl: optimized geometry, GGA-PBEsol.

Properties
Crystal system: orthorhombic
Total moment in Bohr magnetons per cell: 0.0
Energy above the lowest structure with this stoichiometry in eV per atom: 0.2163
Symmetry: Cmmm
Energy relative to the elements in eV/atom: 0.04

```
data_BaMg2Tl
_chemical_formula_sum 'Ba2 Mg4 Tl2'
_cell_length_a 7.0300
_cell_length_b 9.8618
_cell_length_c 3.6095
_cell_angle_alpha 90.00
_cell_angle_beta 90.00
_cell_angle_gamma 90.00
_space_group_name_H-M_alt 'P 1'
_space_group_IT_number 1
loop_
_space_group_symop_operation_xyz
'x,y,z'
loop_
_atom_site_label
_atom_site_type_symbol
_atom_site_fract_x
_atom_site_fract_y
_atom_site_fract_z
_atom_site_occupancy
Ba1 Ba 0.0000 0.0000 0.0000 1
Ba2 Ba 0.5000 0.5000 0.0000 1
Mg1 Mg 0.2500 0.2500 0.5000 1
Mg2 Mg 0.2500 0.7500 0.5000 1
Mg3 Mg 0.7500 0.2500 0.5000 1
Mg4 Mg 0.7500 0.7500 0.5000 1
Tl1 Tl 0.0000 0.5000 0.0000 1
Tl2 Tl 0.5000 0.0000 0.0000 1
```